Record 1
Entry from Alexandria: a geometry-optimized Tb2Al5Cu2Pd structure (PBE-GGA).

* raw total energy: -4.653 eV/atom
* ΔH_f (0 K): -49.9 kJ/mol of atoms

Cell: 9.4518 9.4518 3.9423 Å, 90.00 90.00 90.00°
Space group P4/mbm (No. 127)
One atom of each set of equivalent atoms:
Tb (0.1850, 0.3150, 0.0000) [4 per cell]
Al (0.0000, 0.5000, 0.5000) [2 per cell]
Al (0.0536, 0.7975, 0.5000) [8 per cell]
Cu (0.1098, 0.6098, 0.0000) [4 per cell]
Pd (0.0000, 0.0000, 0.0000) [2 per cell]


Record 2
Entry from Alexandria: a geometry-optimized Tb2Al4CuPd3 structure (PBE-GGA).

* raw total energy: -5.136 eV/atom
* ΔH_f (0 K): -71.9 kJ/mol of atoms

Cell: 4.1468 4.1468 10.7784 Å, 90.00 90.00 90.00°
Space group P-4m2 (No. 115)
One atom of each set of equivalent atoms:
Tb (0.0000, 0.5000, 0.2491) [2 per cell]
Al (0.0000, 0.0000, 0.0000) [1 per cell]
Al (0.0000, 0.5000, 0.6281) [2 per cell]
Al (0.5000, 0.5000, 0.0000) [1 per cell]
Cu (0.0000, 0.0000, 0.5000) [1 per cell]
Pd (0.0000, 0.5000, 0.8617) [2 per cell]
Pd (0.5000, 0.5000, 0.5000) [1 per cell]


Record 3
Entry from Alexandria: a geometry-optimized ThAl4CuPd2 structure (PBE-GGA).

* raw total energy: -5.211 eV/atom
* ΔH_f (0 K): -58.1 kJ/mol of atoms

Cell: 4.2801 4.2801 26.5441 Å, 90.00 90.00 120.00°
Space group R-3m (No. 166, hexagonal axes)
One atom of each set of equivalent atoms:
Th (0.0000, 0.0000, 0.0000) [3 per cell]
Al (0.0000, 0.0000, 0.1321) [6 per cell]
Al (0.0000, 0.0000, 0.4058) [6 per cell]
Cu (0.0000, 0.0000, 0.5000) [3 per cell]
Pd (0.0000, 0.0000, 0.2355) [6 per cell]


Record 4
Entry from Alexandria: a geometry-optimized ThAl4Cu2Pd structure (PBE-GGA).

* raw total energy: -4.906 eV/atom
* ΔH_f (0 K): -41.9 kJ/mol of atoms

Cell: 4.2271 4.2271 26.8849 Å, 90.00 90.00 120.00°
Space group R-3m (No. 166, hexagonal axes)
One atom of each set of equivalent atoms:
Th (0.0000, 0.0000, 0.0000) [3 per cell]
Al (0.0000, 0.0000, 0.1291) [6 per cell]
Al (0.0000, 0.0000, 0.4056) [6 per cell]
Cu (0.0000, 0.0000, 0.2406) [6 per cell]
Pd (0.0000, 0.0000, 0.5000) [3 per cell]